1.
## CsGe2Ru (PBE)

Data for crystalline CsGe2Ru at its relaxed geometry.

Computed properties:
As for the symmetry: Fm-3m, No. 225. The energy relative to the elements is 1.021 eV per atom. As for the calculated density: 7.10 Mg/m³. The calculation puts the polymorph energy (0 for the lowest one) at 1.115 eV/atom. The calculation puts the total energy at -15.3 eV per cell.

Unit cell a=5.0047 b=5.0047 c=5.0047 alpha=60.00 beta=60.00 gamma=60.00
Fractional coordinates of all 4 atoms:
Cs: 0.0000 0.0000 0.0000
Ge: 0.2500 0.2500 0.2500
Ge: 0.7500 0.7500 0.7500
Ru: 0.5000 0.5000 0.5000

2.
## AgPdSN2 (PBE)

Data for crystalline AgPdSN2 at its relaxed geometry.

Computed properties:
The calculation puts the uncorrected formation energy at 1.95 eV per atom. As for the symmetry: P4/mmm, No. 123. As for the calculated density: 5.28 Mg/m³. The calculation puts the polymorph energy (0 for the lowest one) at 0.543 eV/atom. The calculation puts the total energy at -19.1 eV per cell.

Unit cell a=3.9664 b=3.9664 c=5.4796 alpha=90.00 beta=90.00 gamma=90.00
Fractional coordinates of all 5 atoms:
Ag: 0.0000 0.0000 0.0000
Pd: 0.5000 0.5000 0.5000
S: 0.0000 0.0000 0.5000
N: 0.0000 0.5000 0.0000
N: 0.5000 0.0000 0.0000

3.
## UNi5S4 (PBE)

Data for crystalline UNi5S4 at its relaxed geometry.

Computed properties:
The calculation puts the uncorrected formation energy at -0.54 eV per atom. As for the symmetry: Immm, No. 71. As for the calculated density: 7.59 Mg/m³. The calculation puts the total energy at -62.1 eV per cell.

Unit cell a=7.0579 b=7.0579 c=7.0579 alpha=149.67 beta=124.74 gamma=64.34
Fractional coordinates of all 10 atoms:
U: 0.0000 0.0000 0.0000
Ni: 0.0167 0.3183 0.6984
Ni: 0.3802 0.6817 0.6984
Ni: 0.5000 0.0000 0.5000
Ni: 0.6198 0.3183 0.3016
Ni: 0.9833 0.6817 0.3016
S: 0.2257 0.2257 0.0000
S: 0.2874 0.5000 0.7874
S: 0.7126 0.5000 0.2126
S: 0.7743 0.7743 0.0000

4.
## TlCr2W (PBE)

Data for crystalline TlCr2W at its relaxed geometry.

Computed properties:
As for the symmetry: Cmmm, No. 65. The energy relative to the elements is 0.643 eV per atom. As for the calculated density: 12.78 Mg/m³. The calculation puts the polymorph energy (0 for the lowest one) at 0.179 eV/atom. The calculation puts the total energy at -32.0 eV per cell.

Unit cell a=2.8181 b=2.8181 c=8.6725 alpha=90.00 beta=90.00 gamma=111.82
Fractional coordinates of all 4 atoms:
Tl: 0.0000 0.0000 0.0000
Cr: 0.5000 0.5000 0.2732
Cr: 0.5000 0.5000 0.7268
W: 0.0000 0.0000 0.5000

5.
## ScTcMo2 (PBE)

Data for crystalline ScTcMo2 at its relaxed geometry.

Computed properties:
As for the symmetry: Pmm2, No. 25. The energy relative to the elements is 0.245 eV per atom. As for the calculated density: 8.38 Mg/m³. The calculation puts the polymorph energy (0 for the lowest one) at 0.354 eV/atom. The calculation puts the total energy at -37.4 eV per cell.

Unit cell a=2.7530 b=4.6038 c=5.2367 alpha=90.00 beta=90.00 gamma=90.00
Fractional coordinates of all 4 atoms:
Sc: 0.0000 0.0000 0.0000
Tc: 0.5000 0.5000 0.2373
Mo: 0.0000 0.0000 0.4976
Mo: 0.5000 0.5000 0.7398

6.
## K2ScCu (PBE)

Data for crystalline K2ScCu at its relaxed geometry.

Computed properties:
As for the symmetry: Pm, No. 6. The energy relative to the elements is 0.254 eV per atom. As for the calculated density: 2.18 Mg/m³. The calculation puts the polymorph energy (0 for the lowest one) at 0.000 eV/atom. The calculation puts the total energy at -11.6 eV per cell.

Unit cell a=3.6280 b=3.6214 c=10.8184 alpha=90.00 beta=90.98 gamma=90.00
Fractional coordinates of all 4 atoms:
K: 0.0000 0.0000 0.0000
K: 0.4773 0.5000 0.3865
Sc: 0.9882 0.0000 0.6776
Cu: 0.4931 0.5000 0.7687

7.
## CsBiBr (PBE)

Data for crystalline CsBiBr at its relaxed geometry.

Computed properties:
The calculation puts the uncorrected formation energy at -0.92 eV per atom. As for the symmetry: Cm, No. 8. As for the calculated density: 4.44 Mg/m³. The calculation puts the polymorph energy (0 for the lowest one) at 0.115 eV/atom. The calculation puts the total energy at -18.3 eV per cell.

Unit cell a=8.0924 b=8.0924 c=10.0692 alpha=114.36 beta=114.36 gamma=32.02
Fractional coordinates of all 6 atoms:
Cs: 0.0000 0.0000 0.0000
Cs: 0.1039 0.1039 0.6176
Bi: 0.3556 0.3556 0.5853
Bi: 0.7711 0.7711 0.3703
Br: 0.5617 0.5617 0.3091
Br: 0.6450 0.6450 0.9135

8.
## BaSmZnN2 (PBE)

Data for crystalline BaSmZnN2 at its relaxed geometry.

Computed properties:
The calculation puts the uncorrected formation energy at -0.50 eV per atom. As for the symmetry: P2/c, No. 13. As for the calculated density: 5.59 Mg/m³. The calculation puts the total energy at -54.2 eV per cell.

Unit cell a=5.9578 b=5.4603 c=6.9546 alpha=90.00 beta=90.01 gamma=90.00
Fractional coordinates of all 10 atoms:
Ba: 0.0000 0.0012 0.2500
Ba: 0.0000 0.9988 0.7500
Sm: 0.5000 0.5002 0.2500
Sm: 0.5000 0.4998 0.7500
Zn: 0.5000 0.0000 0.0000
Zn: 0.5000 0.0000 0.5000
N: 0.3080 0.2714 0.0000
N: 0.3080 0.7286 0.5000
N: 0.6920 0.2714 0.5000
N: 0.6920 0.7286 0.0000

9.
## TaAsW2C (PBE)

Data for crystalline TaAsW2C at its relaxed geometry.

Computed properties:
As for the symmetry: P4/mmm, No. 123. The energy relative to the elements is 2.220 eV per atom. As for the calculated density: 10.87 Mg/m³. The calculation puts the total energy at -40.5 eV per cell.

Unit cell a=4.9531 b=4.9531 c=3.9571 alpha=90.00 beta=90.00 gamma=90.00
Fractional coordinates of all 5 atoms:
Ta: 0.0000 0.0000 0.0000
As: 0.5000 0.5000 0.5000
W: 0.0000 0.5000 0.0000
W: 0.5000 0.0000 0.0000
C: 0.0000 0.0000 0.5000

10.
## FeCu2Ag (PBE)

Data for crystalline FeCu2Ag at its relaxed geometry.

Computed properties:
As for the symmetry: I4/mmm, No. 139. The energy relative to the elements is 0.277 eV per atom. As for the calculated density: 8.87 Mg/m³. The calculation puts the polymorph energy (0 for the lowest one) at 0.108 eV/atom. The calculation puts the total energy at -18.4 eV per cell.

Unit cell a=4.5204 b=4.5204 c=4.5204 alpha=128.90 beta=128.90 gamma=75.17
Fractional coordinates of all 4 atoms:
Fe: 0.0000 0.0000 0.0000
Cu: 0.2500 0.7500 0.5000
Cu: 0.7500 0.2500 0.5000
Ag: 0.5000 0.5000 0.0000

11.
## Nb2Re2Ni (PBE)

Data for crystalline Nb2Re2Ni at its relaxed geometry.

Computed properties:
As for the symmetry: I4/mmm, No. 139. The energy relative to the elements is 0.644 eV per atom. As for the calculated density: 11.66 Mg/m³. The calculation puts the polymorph energy (0 for the lowest one) at 0.115 eV/atom. The calculation puts the total energy at -47.6 eV per cell.

Unit cell a=7.4579 b=7.4579 c=7.4579 alpha=152.58 beta=152.58 gamma=39.17
Fractional coordinates of all 5 atoms:
Nb: 0.0928 0.0928 0.0000
Nb: 0.9072 0.9072 0.0000
Re: 0.2500 0.7500 0.5000
Re: 0.7500 0.2500 0.5000
Ni: 0.5000 0.5000 0.0000

12.
## Ta2AlFe (PBE)

Data for crystalline Ta2AlFe at its relaxed geometry.

Computed properties:
As for the symmetry: Immm, No. 71. The energy relative to the elements is -0.133 eV per atom. As for the calculated density: 11.86 Mg/m³. The calculation puts the total energy at -36.4 eV per cell.

Unit cell a=5.1213 b=5.1213 c=5.1213 alpha=142.58 beta=129.39 gamma=64.61
Fractional coordinates of all 4 atoms:
Ta: 0.2330 0.2330 0.0000
Ta: 0.7670 0.7670 0.0000
Al: 0.5000 0.0000 0.5000
Fe: 0.0000 0.5000 0.5000